ScHgRu2 | GGA-PBE | optimized geometry

* E_tot: -24.6 eV per cell
* ΔH_f (0 K): 3.267 kcal/mol of atoms
* density of states at the Fermi level: 3.9 states/eV/cell

a b c (Å): 4.3964 2.9102 5.4419
angles (deg): 81.94 90.00 90.00
With the nearest neighbours (Å) after each atom.
Fractional positions:
Ru  0.0000  0.4718  0.4644  2 Sc 2.61, 4 Ru 2.65-2.91, 2 Hg 2.87
Ru  0.0000  0.0282  0.0356  2 Sc 2.61, 4 Ru 2.65-2.91, 2 Hg 2.87
Sc  0.5000  0.2500  0.2500  4 Ru 2.61, 2 Hg 2.90, 2 Sc 2.91
Hg  0.5000  0.7500  0.7500  4 Ru 2.87, 2 Sc 2.90, 2 Hg 2.91